No. 1
# Pr2Sm8Ho3

A geometry-optimized Pr2Sm8Ho3 structure (GGA-PBE, the Alexandria database).

Cell lengths 5.6491, 7.6988, 11.0995 Å; angles 110.29, 90.01, 90.00 degrees
With the nearest neighbours (Å) after each atom.
Sites, in units of the cell vectors:
Pr (0.4995, 0.2403, 0.4806)  8 Sm 3.44-3.66
Pr (0.5005, 0.7597, 0.5194)  8 Sm 3.44-3.66
Sm (0.0004, 0.6654, 0.3308)  2 Pr 3.44, 4 Sm 3.49, 2 Ho 3.82
Sm (0.9996, 0.3346, 0.6692)  2 Pr 3.44, 4 Sm 3.49, 2 Ho 3.82
Sm (0.9998, 0.1286, 0.2572)  2 Ho 3.47, 4 Sm 3.65, 2 Pr 3.66
Sm (0.0002, 0.8714, 0.7428)  2 Ho 3.47, 4 Sm 3.65, 2 Pr 3.66
Sm (0.4999, 0.6036, 0.7922)  1 Ho 3.12, 3 Sm 3.19-3.49
Sm (0.4999, 0.1886, 0.7922)  1 Ho 3.12, 3 Sm 3.19-3.49
Sm (0.5001, 0.8114, 0.2078)  1 Ho 3.12, 3 Sm 3.19-3.49
Sm (0.5001, 0.3964, 0.2078)  1 Ho 3.12, 3 Sm 3.19-3.49
Ho (0.5000, 0.0000, 0.0000)  4 Sm 3.12
Ho (0.0000, 0.2860, 0.0000)  3 Ho 3.29-3.58, 6 Sm 3.47-3.56
Ho (0.0000, 0.7140, 0.0000)  3 Ho 3.29-3.58, 6 Sm 3.47-3.56

calculated total energy: -4.481 eV/atom
crystal system: monoclinic
DFT formation energy: 0.2149 eV per atom
density of states at the Fermi level: 1.63 states/eV/atom

No. 2
# PrSm7Ho12

A geometry-optimized PrSm7Ho12 structure (GGA-PBE, the Alexandria database).

Cell lengths 9.7591, 9.7591, 9.7591 Å; angles 109.47, 109.47, 109.47 degrees
With the nearest neighbours (Å) after each atom.
Sites, in units of the cell vectors:
Pr (0.0000, 0.0000, 0.0000)  12 Ho 4.01
Sm (0.5000, 0.5000, 0.0000)  12 Ho 3.96-3.99
Sm (0.0000, 0.5000, 0.5000)  12 Ho 3.96-3.99
Sm (0.5000, 0.0000, 0.5000)  12 Ho 3.96-3.99
Sm (0.5000, 0.5000, 0.5000)  6 Ho 2.82
Sm (0.0000, 0.0000, 0.5000)  6 Ho 2.82
Sm (0.5000, 0.0000, 0.0000)  6 Ho 2.82
Sm (0.0000, 0.5000, 0.0000)  6 Ho 2.82
Ho (0.4965, 0.7486, 0.7480)  2 Sm 2.82
Ho (0.0006, 0.7486, 0.2520)  2 Sm 2.82
Ho (0.5035, 0.2514, 0.2520)  2 Sm 2.82
Ho (0.9994, 0.2514, 0.7480)  2 Sm 2.82
Ho (0.7480, 0.9994, 0.2514)  2 Sm 2.82
Ho (0.7480, 0.4965, 0.7486)  2 Sm 2.82
Ho (0.2520, 0.0006, 0.7486)  2 Sm 2.82
Ho (0.2520, 0.5035, 0.2514)  2 Sm 2.82
Ho (0.7486, 0.7480, 0.4965)  2 Sm 2.82
Ho (0.2514, 0.2520, 0.5035)  2 Sm 2.82
Ho (0.7486, 0.2520, 0.0006)  2 Sm 2.82
Ho (0.2514, 0.7480, 0.9994)  2 Sm 2.82

calculated total energy: -3.983 eV/atom
crystal system: cubic
DFT formation energy: 0.6547 eV per atom
density of states at the Fermi level: 1.34 states/eV/atom